Li4Ag3Pd2: relaxed, GGA-PBE.

Cell lengths 4.0522, 6.0833, 6.3836 Å; angles 107.13, 108.51, 90.00 degrees
Closest atoms and distances in Å follow each position.
Sites, in units of the cell vectors:
Ag: 0.0000 0.0000 0.0000  6 Li 2.71-2.75, 2 Ag 2.85, 4 Pd 2.86
Ag: 0.1145 0.6548 0.2289  7 Li 2.79-2.86, 3 Pd 2.81-2.86, 2 Ag 2.83-2.85
Ag: 0.8855 0.3452 0.7711  7 Li 2.79-2.86, 3 Pd 2.81-2.86, 2 Ag 2.83-2.85
Li: 0.5468 0.3117 0.0936  2 Pd 2.70-2.71, 6 Ag 2.71-2.86, 3 Li 2.85-2.95
Li: 0.4532 0.6883 0.9064  2 Pd 2.70-2.71, 6 Ag 2.71-2.86, 3 Li 2.85-2.95
Li: 0.2224 0.3049 0.4448  3 Pd 2.62-2.67, 4 Ag 2.75-2.82
Li: 0.7776 0.6951 0.5552  3 Pd 2.62-2.67, 4 Ag 2.75-2.82
Pd: 0.6672 0.0041 0.3343  5 Li 2.62-2.71, 5 Ag 2.81-2.86, 2 Pd 2.86
Pd: 0.3328 0.9959 0.6657  5 Li 2.62-2.71, 5 Ag 2.81-2.86, 2 Pd 2.86

DFT formation energy	-0.265	eV per atom
magnetization	0.00	μB per atom
D(E_F)	2.4	states/eV/cell
uncorrected energy	-3.220	eV per atom
distance to the lowest polymorph of the same formula	25.5	meV per atom